Record 1
PrHf2Rh2 | GGA-PBE | relaxed

Unit cell a=4.5044 b=4.5044 c=10.9868 alpha=90.00 beta=90.00 gamma=90.00
Space group I4/mmm (No. 139)
Inequivalent atoms, fractional coordinates:
Pr1 0.0000 0.0000 0.0000 (multiplicity 2)
Hf1 0.0000 0.5000 0.2500 (multiplicity 4)
Rh1 0.0000 0.0000 0.3787 (multiplicity 4)

Properties
- formation energy from the elements (eV per atom) = -0.68
- V (Å³ per atom) = 22.29

Record 2
Pa2S2BrO2 | GGA-PBE | relaxed

Unit cell a=3.8348 b=3.8348 c=36.2637 alpha=90.00 beta=90.00 gamma=120.00
Space group R-3m (No. 166, hexagonal axes)
Inequivalent atoms, fractional coordinates:
Pa1 0.0000 0.0000 0.0939 (multiplicity 6)
S1 0.0000 0.0000 0.3826 (multiplicity 6)
Br1 0.0000 0.0000 0.5000 (multiplicity 3)
O1 0.0000 0.0000 0.2283 (multiplicity 6)

Properties
- V (Å³ per atom) = 21.99
- raw total energy (eV/atom) = -7.888